[1]
! SmSbIr, relaxed, DFT GGA-PBE; values from VASP
! E_tot, Ry per atom: -0.4897
! Symmetry: P-62m, No. 189
&SYSTEM
  ibrav = 0, nat = 9, ntyp = 3
/
ATOMIC_SPECIES
Sm 150.36 Sm.upf
Sb 121.76 Sb.upf
Ir 192.22 Ir.upf
CELL_PARAMETERS angstrom
7.059 0.000 0.000
-3.529 6.113 0.000
0.000 0.000 4.528
ATOMIC_POSITIONS angstrom
Sm -2.006 3.475 0.000
Sm 1.523 2.638 0.000
Sm 4.013 0.000 0.000
Sb 0.000 0.000 0.000
Sb 0.000 4.075 2.264
Sb 3.529 2.038 2.264
Ir -0.831 1.439 2.264
Ir 1.662 0.000 2.264
Ir 2.698 4.674 2.264

***

[2]
! Pr2SmSi2, relaxed, DFT GGA-PBE; values from VASP
! E_tot, Ry per atom: -0.4165
! Symmetry: P4/mbm, No. 127
&SYSTEM
  ibrav = 0, nat = 10, ntyp = 3
/
ATOMIC_SPECIES
Pr 140.91 Pr.upf
Sm 150.36 Sm.upf
Si 28.09 Si.upf
CELL_PARAMETERS angstrom
7.752 0.000 0.000
0.000 7.752 0.000
0.000 0.000 4.405
ATOMIC_POSITIONS angstrom
Pr 1.372 2.504 0.000
Pr 2.504 6.380 0.000
Pr 5.248 1.372 0.000
Pr 6.380 5.248 0.000
Sm 0.000 0.000 2.203
Sm 3.876 3.876 2.203
Si 0.868 4.744 2.203
Si 3.008 0.868 2.203
Si 4.744 6.884 2.203
Si 6.884 3.008 2.203

***

[3]
! Dy3Er2Tm2Cu2Te2, relaxed, DFT GGA-PBE; values from VASP
! E_tot, Ry per atom: -0.3469
! Symmetry: Imm2, No. 44
&SYSTEM
  ibrav = 0, nat = 11, ntyp = 5
/
ATOMIC_SPECIES
Dy 162.50 Dy.upf
Er 167.26 Er.upf
Tm 168.93 Tm.upf
Cu 63.55 Cu.upf
Te 127.60 Te.upf
CELL_PARAMETERS angstrom
-1.964 7.730 4.775
1.964 -7.730 4.775
1.964 7.730 -4.775
ATOMIC_POSITIONS angstrom
Dy 0.000 0.000 0.000
Dy 1.964 5.730 0.800
Dy 0.000 2.001 5.575
Er 1.964 2.871 -1.149
Er 0.000 4.860 3.626
Tm 1.964 -2.221 2.253
Tm 1.964 2.221 2.253
Cu 0.000 3.632 0.718
Cu 0.000 11.828 0.718
Te 0.000 0.000 3.204
Te 0.000 7.730 2.267

***

- Which value of E_tot does entry 1 give?
  -0.4897 Ry per atom